<A>
The following is a PBE-GGA calculation of a geometry-optimized AgHPdPb2 structure, from Alexandria.

Unit cell a=5.620 b=5.620 c=3.336 alpha=90.00 beta=90.00 gamma=90.00
Fractional positions:
1 Ag 0.000 0.000 0.000
2 H 0.500 0.500 0.000
3 Pd 0.500 0.500 0.500
4 Pb 0.000 0.500 0.500
5 Pb 0.500 0.000 0.500

- Calculated volume: 21.1 Å³/atom

<B>
The following is a PBE-GGA calculation of a geometry-optimized AgHPdPb2 structure, from Alexandria.

Unit cell a=5.370 b=5.370 c=3.418 alpha=90.00 beta=90.00 gamma=90.00
Fractional positions:
1 Ag 0.000 0.000 0.000
2 H 0.500 0.500 0.500
3 Pd 0.500 0.500 0.000
4 Pb 0.000 0.500 0.500
5 Pb 0.500 0.000 0.500

- Calculated volume: 19.7 Å³/atom

Which of them is the most stable? Correct choice: <B>.

<A>
The following is a PBE-GGA calculation of a geometry-optimized AgSbHPb2 structure, from Alexandria.

Unit cell a=5.912 b=5.912 c=3.462 alpha=90.00 beta=90.00 gamma=90.00
Fractional positions:
1 Ag 0.000 0.000 0.000
2 Sb 0.500 0.500 0.500
3 H 0.000 0.000 0.500
4 Pb 0.000 0.500 0.000
5 Pb 0.500 0.000 0.000

- Calculated volume: 24.2 Å³/atom

<B>
The following is a PBE-GGA calculation of a geometry-optimized AgSbHPb2 structure, from Alexandria.

Unit cell a=5.188 b=5.188 c=4.245 alpha=90.00 beta=90.00 gamma=90.00
Fractional positions:
1 Ag 0.000 0.000 0.000
2 Sb 0.500 0.500 0.000
3 H 0.000 0.000 0.500
4 Pb 0.000 0.500 0.500
5 Pb 0.500 0.000 0.500

- Calculated volume: 22.9 Å³/atom

Which of them is the most stable? Correct choice: <A>.

<A>
The following is a PBE-GGA calculation of a geometry-optimized Y2AgHPb structure, from Alexandria.

Unit cell a=4.862 b=4.862 c=4.387 alpha=90.00 beta=90.00 gamma=90.00
Fractional positions:
1 Y 0.000 0.500 0.000
2 Y 0.500 0.000 0.000
3 Ag 0.000 0.000 0.500
4 H 0.000 0.000 0.000
5 Pb 0.500 0.500 0.500

- Calculated volume: 20.7 Å³/atom

<B>
The following is a PBE-GGA calculation of a geometry-optimized Y2AgHPb structure, from Alexandria.

Unit cell a=5.850 b=5.850 c=5.282 alpha=90.00 beta=90.00 gamma=90.00
Fractional positions:
1 Y 0.000 0.500 0.000
2 Y 0.500 0.000 0.000
3 Ag 0.000 0.000 0.500
4 H 0.500 0.500 0.500
5 Pb 0.000 0.000 0.000

- Calculated volume: 36.2 Å³/atom

Which of them is the most stable? Correct choice: <A>.

<A>
The following is a PBE-GGA calculation of a geometry-optimized AgHPd4 structure, from Alexandria.

Unit cell a=7.325 b=7.325 c=4.726 alpha=108.25 beta=108.25 gamma=44.58
Fractional positions:
1 Ag 0.192 0.192 0.191
2 Ag 0.808 0.808 0.809
3 H 0.419 0.419 0.164
4 H 0.581 0.581 0.836
5 Pd 0.136 0.641 0.392
6 Pd 0.249 0.751 0.000
7 Pd 0.307 0.307 0.803
8 Pd 0.359 0.864 0.608
9 Pd 0.641 0.136 0.392
10 Pd 0.693 0.693 0.197
11 Pd 0.751 0.249 0.000
12 Pd 0.864 0.359 0.608

- Calculated volume: 14.0 Å³/atom

<B>
The following is a PBE-GGA calculation of a geometry-optimized AgHPd4 structure, from Alexandria.

Unit cell a=4.826 b=4.928 c=7.459 alpha=70.71 beta=84.95 gamma=89.93
Fractional positions:
1 Ag 0.250 0.157 0.000
2 Ag 0.750 0.843 0.000
3 H 0.000 0.500 0.500
4 H 0.500 0.000 0.500
5 Pd 0.219 0.950 0.392
6 Pd 0.230 0.549 0.202
7 Pd 0.270 0.751 0.797
8 Pd 0.281 0.342 0.607
9 Pd 0.719 0.658 0.393
10 Pd 0.730 0.249 0.203
11 Pd 0.770 0.451 0.798
12 Pd 0.781 0.050 0.608

- Calculated volume: 13.9 Å³/atom

Which of them is the most stable? Correct choice: <B>.

<A>
The following is a PBE-GGA calculation of a geometry-optimized AgH2Pd structure, from Alexandria.

Unit cell a=2.960 b=2.960 c=10.078 alpha=90.00 beta=90.00 gamma=120.00
Fractional positions:
1 Ag 0.000 0.000 0.000
2 Ag 0.000 0.000 0.500
3 H 0.333 0.667 0.151
4 H 0.333 0.667 0.349
5 H 0.667 0.333 0.651
6 H 0.667 0.333 0.849
7 Pd 0.333 0.667 0.750
8 Pd 0.667 0.333 0.250

- Calculated volume: 9.6 Å³/atom

<B>
The following is a PBE-GGA calculation of a geometry-optimized AgH2Pd structure, from Alexandria.

Unit cell a=5.400 b=6.039 c=5.094 alpha=90.00 beta=90.00 gamma=90.00
Fractional positions:
1 Ag 0.097 0.125 0.000
2 Ag 0.403 0.625 0.500
3 Ag 0.597 0.375 0.000
4 Ag 0.903 0.875 0.500
5 H 0.056 0.601 0.345
6 H 0.093 0.147 0.393
7 H 0.407 0.647 0.893
8 H 0.444 0.101 0.845
9 H 0.556 0.899 0.345
10 H 0.593 0.353 0.393
11 H 0.907 0.853 0.893
12 H 0.944 0.399 0.845
13 Pd 0.093 0.626 0.999
14 Pd 0.407 0.126 0.499
15 Pd 0.593 0.874 0.999
16 Pd 0.907 0.374 0.499

- Calculated volume: 10.4 Å³/atom

<C>
The following is a PBE-GGA calculation of a geometry-optimized AgH2Pd structure, from Alexandria.

Unit cell a=3.847 b=3.847 c=3.847 alpha=60.00 beta=60.00 gamma=60.00
Fractional positions:
1 Ag 0.000 0.000 0.000
2 H 0.250 0.250 0.250
3 H 0.750 0.750 0.750
4 Pd 0.500 0.500 0.500

- Calculated volume: 10.1 Å³/atom

<D>
The following is a PBE-GGA calculation of a geometry-optimized AgH2Pd structure, from Alexandria.

Unit cell a=5.501 b=5.501 c=5.501 alpha=31.92 beta=31.92 gamma=31.92
Fractional positions:
1 Ag 0.000 0.000 0.000
2 H 0.121 0.121 0.121
3 H 0.879 0.879 0.879
4 Pd 0.500 0.500 0.500

- Calculated volume: 10.3 Å³/atom

Which of them is the most stable? Correct choice: <D>.

<A>
The following is a PBE-GGA calculation of a geometry-optimized AgH2Pd structure, from Alexandria.

Unit cell a=5.592 b=5.592 c=5.592 alpha=30.66 beta=30.66 gamma=30.66
Fractional positions:
1 Ag 0.000 0.000 0.000
2 H 0.211 0.211 0.211
3 H 0.440 0.440 0.440
4 Pd 0.825 0.825 0.825

- Calculated volume: 10.1 Å³/atom

<B>
The following is a PBE-GGA calculation of a geometry-optimized AgH2Pd structure, from Alexandria.

Unit cell a=5.448 b=5.448 c=5.448 alpha=133.81 beta=133.81 gamma=67.39
Fractional positions:
1 Ag 0.000 0.000 0.000
2 Ag 0.750 0.250 0.500
3 H 0.174 0.625 0.049
4 H 0.375 0.424 0.549
5 H 0.576 0.125 0.951
6 H 0.875 0.826 0.451
7 Pd 0.250 0.750 0.500
8 Pd 0.500 0.500 0.000

- Calculated volume: 10.4 Å³/atom

Which of them is the most stable? Correct choice: <B>.